Compound: LiCuSnPt
Source: Alexandria via LeMat-Bulk
Functional: PBE-GGA
Structure: relaxed

Values from the calculation:
Crystal system: tetragonal

POSCAR file:
```
LiCuSnPt
1.0
4.0727 0.0000 0.0000
0.0000 4.0728 -0.0001
-2.0363 -2.0365 3.7354
Cu Sn Pt Li
1 1 1 1
direct
0.0000 0.0000 0.0000 Cu
0.7500 0.2499 0.5000 Sn
0.5000 0.5000 0.0000 Pt
0.2500 0.7500 0.5000 Li
```


Compound: LiCuSnPt
Source: Alexandria via LeMat-Bulk
Functional: PBE-GGA
Structure: relaxed

Values from the calculation:
Crystal system: cubic

POSCAR file:
```
LiCuSnPt
1.0
-1.1218 -1.2005 -4.1417
0.5234 -4.2254 -1.3138
-3.5687 -2.5792 -0.6826
Cu Pt Sn Li
1 1 1 1
direct
0.0000 0.0000 0.0000 Cu
0.7500 0.7500 0.7500 Pt
0.5000 0.5000 0.5000 Sn
0.2500 0.2500 0.2500 Li
```


Compound: Sr2Li3Cu12Pt
Source: Alexandria via LeMat-Bulk
Functional: PBE-GGA
Structure: relaxed

Values from the calculation:
Crystal system: trigonal

POSCAR file:
```
Sr2Li3Cu12Pt
1.0
-5.5113 7.1486 4.4906
-9.3034 3.6719 1.2669
-7.3272 1.7889 6.6898
Cu Li Pt Sr
12 3 1 2
direct
0.0637 0.0637 0.6480 Cu
0.4158 0.8107 0.4158 Cu
0.3520 0.9363 0.9363 Cu
0.4158 0.4158 0.8107 Cu
0.6480 0.0637 0.0637 Cu
0.9363 0.3520 0.9363 Cu
0.5842 0.1893 0.5842 Cu
0.8107 0.4158 0.4158 Cu
0.1893 0.5842 0.5842 Cu
0.5842 0.5842 0.1893 Cu
0.9363 0.9363 0.3520 Cu
0.0637 0.6480 0.0637 Cu
0.5000 0.0000 0.0000 Li
0.0000 0.0000 0.5000 Li
0.0000 0.5000 0.0000 Li
0.0000 0.0000 0.0000 Pt
0.3520 0.3520 0.3520 Sr
0.6480 0.6480 0.6480 Sr
```


no.,total moment (Bohr magnetons per cell),E_tot (Ry/atom),ΔH_f (0 K) (meV per atom)
1,0.0,-0.32601,-422
2,0.0,-0.32684,-433
3,0.0,-0.25638,84